This record from Alexandria via LeMat-Bulk describes an optimized crystal structure of LaNiAs2. The functional is PBE.

a = 4.8620 Å, b = 4.8620 Å, c = 4.8620 Å
α = 60.00°, β = 60.00°, γ = 60.00°
With the nearest neighbours (Å) after each atom.
Element x y z (fractional)
As 0.2500 0.2500 0.2500  4 As 2.98, 4 La 2.98
As 0.0000 0.0000 0.0000  4 Ni 2.98, 4 As 2.98
La 0.5000 0.5000 0.5000  4 As 2.98, 4 Ni 2.98
Ni 0.7500 0.7500 0.7500  4 As 2.98, 4 La 2.98

## Properties
total magnetization: 0.00 μB per cell
E: -5.25 eV/atom
calculated formation energy: -0.248 eV/atom